AgCl2, optimized geometry, DFT PBEsol; magnetic moment = 0.00 μB per cell; space group = Fmmm, No. 69; uncorrected formation energy = -287 meV per atom
1.0
-1.015 0.935 3.355
-3.677 -0.307 0.935
0.396 -4.942 3.457
Cl Ag
2 1
Direct
0.361 0.000 0.278
0.639 0.000 0.722
0.000 0.000 0.000

***

ScAg, optimized geometry, DFT PBEsol; magnetic moment = 0.00 μB per cell; formation energy = -6.9 kcal/mol of atoms; space group = Pm-3m, No. 221
1.0
3.376 0.055 0.000
-0.055 3.376 0.000
0.000 0.000 3.383
Ag Sc
1 1
Direct
0.000 0.000 0.500
0.500 0.500 0.000

***

In2SbAu, optimized geometry, DFT PBEsol; magnetic moment = 0.00 μB per cell; space group = I-4m2, No. 119; uncorrected formation energy = 57 meV per atom
1.0
-1.624 -4.357 0.497
1.618 -0.103 4.386
-3.657 3.752 -1.056
Sb Au In
1 1 2
Direct
0.500 0.500 0.000
0.250 0.750 0.500
0.000 0.000 0.000
0.750 0.250 0.500

***

Zn2FeCuO, optimized geometry, DFT PBEsol; magnetic moment = 2.33 μB per cell; space group = P4/mmm, No. 123; uncorrected formation energy = 211 meV per atom
1.0
-0.431 2.925 -2.247
-4.116 -0.153 0.591
0.373 2.559 3.260
Fe Cu Zn O
1 1 2 1
Direct
0.500 0.500 0.500
0.500 0.000 0.000
0.000 0.000 0.500
0.000 0.500 0.000
0.000 0.000 0.000

***

MnZn3F, optimized geometry, DFT PBEsol; magnetic moment = 3.86 μB per cell; space group = Pm-3m, No. 221; uncorrected formation energy = 456 meV per atom
1.0
4.738 0.000 0.000
0.000 4.738 0.000
0.000 0.000 4.738
Mn Zn F
1 3 1
Direct
0.000 0.000 0.000
0.000 0.500 0.000
0.000 0.000 0.500
0.500 0.000 0.000
0.500 0.500 0.500

***

LaSc2Cu, optimized geometry, DFT PBEsol; magnetic moment = 0.01 μB per cell; formation energy = 4.5 kcal/mol of atoms; space group = P4/mmm, No. 123
1.0
-0.354 -0.162 3.429
-0.625 -4.923 -0.297
4.906 -0.652 0.475
La Sc Cu
1 2 1
Direct
0.500 0.000 0.000
0.000 0.500 0.000
0.000 0.000 0.500
0.500 0.500 0.500